(1)
Compound: SmPaCd4
Source: Alexandria via LeMat-Bulk
Functional: PBE
Structure: relaxed

Lattice parameters (Å, degrees): 5.923 5.923 5.923 60.00 60.00 60.00
Site moments in Bohr magnetons follow the coordinates.
Atoms (fractional coordinates):
Sm 0.000 0.000 0.000  0.19
Pa 0.250 0.250 0.250  0.96
Cd 0.625 0.625 0.125  0.00
Cd 0.625 0.625 0.625  0.00
Cd 0.625 0.125 0.625  0.00
Cd 0.125 0.625 0.625  0.00

## Properties
Mass density: 9.4 Mg/m³
Total magnetization: 1.53 μB/f.u.
DFT formation energy: -0.018 eV per atom

---

(2)
Compound: BaYTlBr6
Source: Alexandria via LeMat-Bulk
Functional: PBE
Structure: relaxed

Lattice parameters (Å, degrees): 7.965 7.965 13.677 90.00 90.00 120.00
Atoms (fractional coordinates):
Ba 0.667 0.333 0.750
Ba 0.333 0.667 0.250
Br 0.341 0.960 0.631
Br 0.619 0.960 0.869
Br 0.960 0.341 0.131
Br 0.619 0.659 0.631
Br 0.040 0.659 0.869
Br 0.381 0.040 0.131
Br 0.381 0.341 0.369
Br 0.040 0.381 0.631
Br 0.659 0.040 0.369
Br 0.659 0.619 0.131
Br 0.960 0.619 0.369
Br 0.341 0.381 0.869
Y 0.333 0.667 0.750
Y 0.667 0.333 0.250
Tl 0.000 0.000 0.500
Tl 0.000 0.000 0.000

## Properties
Mass density: 4.0 Mg/m³
Total magnetization: 0.00 μB/f.u.
Energy relative to the elements, uncorrected: -1.757 eV per atom

---

(3)
Compound: Sc12Zn5Si3
Source: Alexandria via LeMat-Bulk
Functional: PBE
Structure: relaxed

Lattice parameters (Å, degrees): 13.628 13.628 13.628 109.47 109.47 109.47
Atoms (fractional coordinates):
Sc 0.367 0.940 0.775
Sc 0.835 0.926 0.060
Sc 0.633 0.574 0.909
Sc 0.165 0.074 0.940
Sc 0.275 0.867 0.940
Sc 0.275 0.409 0.835
Sc 0.409 0.275 0.335
Sc 0.574 0.940 0.665
Sc 0.560 0.225 0.133
Sc 0.225 0.665 0.091
Sc 0.909 0.835 0.775
Sc 0.574 0.633 0.409
Sc 0.665 0.440 0.574
Sc 0.225 0.560 0.633
Sc 0.633 0.060 0.225
Sc 0.775 0.440 0.367
Sc 0.926 0.091 0.867
Sc 0.440 0.665 0.074
Sc 0.591 0.867 0.426
Sc 0.091 0.926 0.367
Sc 0.926 0.835 0.560
Sc 0.775 0.335 0.909
Sc 0.940 0.367 0.275
Sc 0.591 0.725 0.665
Sc 0.409 0.133 0.574
Sc 0.560 0.335 0.926
Sc 0.091 0.165 0.225
Sc 0.060 0.426 0.835
Sc 0.835 0.909 0.275
Sc 0.074 0.165 0.440
Sc 0.074 0.909 0.133
Sc 0.440 0.775 0.867
Sc 0.725 0.133 0.060
Sc 0.665 0.225 0.591
Sc 0.133 0.409 0.074
Sc 0.867 0.591 0.926
Sc 0.133 0.725 0.560
Sc 0.060 0.633 0.725
Sc 0.426 0.367 0.591
Sc 0.367 0.426 0.091
Sc 0.867 0.275 0.440
Sc 0.940 0.574 0.165
Sc 0.909 0.074 0.633
Sc 0.335 0.560 0.426
Sc 0.426 0.060 0.335
Sc 0.335 0.775 0.409
Sc 0.165 0.091 0.725
Sc 0.725 0.591 0.165
Zn 0.875 0.625 0.750
Zn 0.750 0.125 0.875
Zn 0.375 0.250 0.125
Zn 0.625 0.875 0.250
Zn 0.250 0.375 0.625
Zn 0.500 0.500 0.000
Zn 0.375 0.125 0.750
Zn 0.500 0.000 0.000
Zn 0.125 0.750 0.375
Zn 0.625 0.750 0.875
Zn 0.000 0.000 0.000
Zn 0.000 0.500 0.500
Zn 0.000 0.000 0.500
Zn 0.875 0.250 0.625
Zn 0.500 0.500 0.500
Zn 0.000 0.500 0.000
Zn 0.250 0.875 0.125
Zn 0.500 0.000 0.500
Zn 0.125 0.375 0.250
Zn 0.750 0.625 0.375
Si 0.625 0.250 0.375
Si 0.750 0.375 0.125
Si 0.250 0.625 0.875
Si 0.875 0.125 0.250
Si 0.375 0.625 0.250
Si 0.625 0.375 0.750
Si 0.375 0.750 0.625
Si 0.875 0.750 0.125
Si 0.125 0.875 0.750
Si 0.250 0.125 0.375
Si 0.125 0.250 0.875
Si 0.750 0.875 0.625

## Properties
Mass density: 3.2 Mg/m³
Total magnetization: 0.17 μB/f.u.
Energy relative to the elements, uncorrected: 0.115 eV per atom

---

(4)
Compound: Mn3TlCu4Cl12
Source: Alexandria via LeMat-Bulk
Functional: PBE
Structure: relaxed

Lattice parameters (Å, degrees): 8.400 8.400 8.400 106.48 106.48 106.48
Site moments in Bohr magnetons follow the coordinates.
Atoms (fractional coordinates):
Cl 0.977 0.258 0.355  0.02
Cl 0.742 0.023 0.645  0.02
Cl 0.088 0.912 0.500  0.03
Cl 0.334 0.666 0.500  0.05
Cl 0.258 0.355 0.977  0.02
Cl 0.355 0.977 0.258  0.02
Cl 0.023 0.645 0.742  0.02
Cl 0.645 0.742 0.023  0.02
Cl 0.912 0.500 0.088  0.03
Cl 0.500 0.088 0.912  0.03
Cl 0.500 0.334 0.666  0.05
Cl 0.666 0.500 0.334  0.05
Cu 0.914 0.086 0.500  -0.10
Cu 0.500 0.914 0.086  -0.10
Cu 0.500 0.500 0.500  -0.05
Cu 0.086 0.500 0.914  -0.10
Mn 0.000 0.572 0.428  4.32
Mn 0.572 0.428 0.000  4.32
Mn 0.428 0.000 0.572  4.32
Tl 0.000 0.000 0.000  0.01

## Properties
Mass density: 3.5 Mg/m³
Total magnetization: 14.00 μB/f.u.
Energy relative to the elements, uncorrected: -0.785 eV per atom

---

(5)
Compound: Ac3Zn2GaNi6
Source: Alexandria via LeMat-Bulk
Functional: PBE
Structure: relaxed

Lattice parameters (Å, degrees): 5.620 5.620 8.678 90.00 90.00 120.00
Atoms (fractional coordinates):
Ac 0.333 0.667 0.657
Ac 0.000 0.000 0.000
Ac 0.667 0.333 0.343
Ni 0.181 0.819 0.304
Ni 0.361 0.181 0.696
Ni 0.819 0.639 0.696
Ni 0.819 0.181 0.696
Ni 0.639 0.819 0.304
Ni 0.181 0.361 0.304
Zn 0.333 0.667 0.071
Zn 0.667 0.333 0.929
Ga 0.000 0.000 0.500

## Properties
Mass density: 8.6 Mg/m³
Total magnetization: 0.00 μB/f.u.
DFT formation energy: -0.213 eV per atom

---

(6)
Compound: Mn3SiH
Source: Alexandria via LeMat-Bulk
Functional: PBE
Structure: relaxed

Lattice parameters (Å, degrees): 19.452 4.545 7.488 90.00 163.29 90.00
Site moments in Bohr magnetons follow the coordinates.
Atoms (fractional coordinates):
Mn 0.196 0.410 0.548  -0.16
Mn 0.642 0.569 0.744  1.07
Mn 0.109 0.388 0.963  -0.24
Mn 0.304 0.910 0.952  -0.17
Mn 0.891 0.612 0.037  -0.24
Mn 0.142 0.931 0.244  1.05
Mn 0.858 0.069 0.756  1.05
Mn 0.609 0.112 0.463  -0.24
Mn 0.391 0.888 0.537  -0.24
Mn 0.696 0.090 0.048  -0.17
Mn 0.358 0.431 0.256  1.07
Mn 0.804 0.590 0.452  -0.16
Si 0.968 0.850 0.538  0.00
Si 0.532 0.350 0.962  0.00
Si 0.032 0.150 0.462  0.00
Si 0.468 0.650 0.038  0.00
H 0.976 0.270 0.843  0.00
H 0.476 0.230 0.343  0.00
H 0.524 0.770 0.657  0.00
H 0.024 0.730 0.157  0.00

## Properties
Energy: -7.324 eV/atom
Mass density: 6.8 Mg/m³
Total magnetization: 0.68 μB/f.u.

---

(7)
Compound: Li2ErPd6
Source: Alexandria via LeMat-Bulk
Functional: PBE
Structure: relaxed

Lattice parameters (Å, degrees): 4.341 8.526 5.120 120.95 115.10 89.99
Atoms (fractional coordinates):
Er 0.000 0.000 0.000
Pd 0.215 0.855 0.431
Pd 0.524 0.221 0.047
Pd 0.870 0.534 0.739
Pd 0.785 0.145 0.569
Pd 0.130 0.466 0.261
Pd 0.476 0.779 0.953
Li 0.652 0.633 0.305
Li 0.348 0.367 0.695

## Properties
Mass density: 9.6 Mg/m³
Total magnetization: 0.00 μB/f.u.
DFT formation energy: -0.504 eV per atom

---

(8)
Compound: CeNd2Sm3P6
Source: Alexandria via LeMat-Bulk
Functional: PBE
Structure: relaxed

Lattice parameters (Å, degrees): 7.138 7.138 7.137 99.60 99.60 119.99
Site moments in Bohr magnetons follow the coordinates.
Atoms (fractional coordinates):
P 0.756 0.756 0.250  -0.01
P 0.917 0.589 0.750  -0.01
P 0.083 0.411 0.250  -0.01
P 0.244 0.244 0.750  -0.01
P 0.589 0.917 0.750  -0.01
P 0.411 0.083 0.250  -0.01
Sm 0.168 0.832 0.500  0.00
Sm 0.500 0.500 0.500  0.00
Sm 0.832 0.168 0.500  0.00
Nd 0.666 0.334 0.000  0.00
Nd 0.334 0.666 0.000  0.00
Ce 0.000 0.000 0.000  0.29

## Properties
Mass density: 6.0 Mg/m³
Total magnetization: 0.32 μB/f.u.
DFT formation energy: -1.558 eV per atom